This record from Alexandria via LeMat-Bulk describes DyTm3Te4 after structural relaxation. The functional is PBE.

Output
The value obtained for the theoretical density is 6.6 g/cm³. The calculation puts the magnetic moment at 4.068 μB/cell. Its space group is Pmn2_1. The value obtained for the formation energy without anion corrections is -0.911 eV/atom. The calculation puts the density of states at the Fermi level at 3.0 states/eV/f.u.

a b c (Å): 9.202 7.865 8.182
angles (deg): 90.00 90.00 90.00
Fractional positions:
Dy1 0.000 0.120 0.000
Dy2 0.500 0.880 0.500
Tm1 0.000 0.840 0.364
Tm2 0.199 0.712 0.998
Tm3 0.301 0.288 0.498
Tm4 0.500 0.160 0.864
Tm5 0.699 0.288 0.498
Tm6 0.801 0.712 0.998
Te1 0.000 0.220 0.361
Te2 0.000 0.845 0.738
Te3 0.225 0.359 0.850
Te4 0.275 0.641 0.350
Te5 0.500 0.155 0.238
Te6 0.500 0.780 0.861
Te7 0.725 0.641 0.350
Te8 0.775 0.359 0.850

This record from Alexandria via LeMat-Bulk describes PmGe2Rh after structural relaxation. The functional is PBE.

Output
The value obtained for the theoretical density is 8.2 g/cm³. Its formation energy is -0.847 eV/atom. The calculation puts the magnetic moment at 0.000 μB/cell. Its space group is Immm. The calculation puts the density of states at the Fermi level at 1.8 states/eV/f.u.

a b c (Å): 9.522 9.522 9.522
angles (deg): 153.60 123.56 63.36
Fractional positions:
Pm1 0.206 0.206 0.000
Pm2 0.238 0.000 0.238
Pm3 0.762 0.000 0.762
Pm4 0.794 0.794 0.000
Ge1 0.077 0.577 0.500
Ge2 0.148 0.802 0.346
Ge3 0.421 0.421 0.000
Ge4 0.455 0.802 0.654
Ge5 0.545 0.198 0.346
Ge6 0.579 0.579 0.000
Ge7 0.852 0.198 0.654
Ge8 0.923 0.423 0.500
Rh1 0.105 0.353 0.752
Rh2 0.399 0.647 0.752
Rh3 0.601 0.353 0.248
Rh4 0.895 0.647 0.248

This record from Alexandria via LeMat-Bulk describes CePrMgCd after structural relaxation. The functional is PBE.

Output
The value obtained for the theoretical density is 6.0 g/cm³. Its formation energy is -0.096 eV/atom. The calculation puts the magnetic moment at 1.525 μB/cell. Its space group is F-43m. The calculation puts the density of states at the Fermi level at 11.1 states/eV/f.u.

a b c (Å): 5.471 5.471 5.471
angles (deg): 60.00 60.00 60.00
Fractional positions:
Ce1 0.000 0.000 0.000
Pr1 0.500 0.500 0.500
Mg1 0.750 0.750 0.750
Cd1 0.250 0.250 0.250

This record from Alexandria via LeMat-Bulk describes CuHgTe2 after structural relaxation. The functional is PBE.

Output
The value obtained for the theoretical density is 7.1 g/cm³. The calculation puts the magnetic moment at 0.000 μB/cell. Its space group is P2/m. The value obtained for the formation energy without anion corrections is 0.021 eV/atom. The calculation puts the density of states at the Fermi level at 1.4 states/eV/f.u.

a b c (Å): 5.494 3.973 5.871
angles (deg): 90.00 109.32 90.00
Fractional positions:
Cu1 0.000 0.000 0.000
Hg1 0.000 0.000 0.500
Te1 0.330 0.500 0.133
Te2 0.670 0.500 0.867